! SrFeHgTe3, optimized geometry, DFT PBE-GGA; values from VASP
&SYSTEM
  ibrav = 0, nat = 12, ntyp = 4
/
ATOMIC_SPECIES
Sr 87.62 Sr.upf
Fe 55.84 Fe.upf
Hg 200.59 Hg.upf
Te 127.60 Te.upf
CELL_PARAMETERS angstrom
2.150 -7.241 0.000
2.150 7.241 0.000
0.000 0.000 11.526
ATOMIC_POSITIONS angstrom
Sr 2.150 4.044 8.645
Sr 2.150 -4.044 2.882
Fe 0.000 0.000 0.000
Fe 0.000 0.000 5.763
Hg 2.150 0.394 2.882
Hg 2.150 -0.394 8.645
Te 2.150 5.783 2.882
Te 2.150 1.874 0.493
Te 2.150 1.874 5.270
Te 2.150 -1.874 6.256
Te 2.150 -1.874 11.033
Te 2.150 -5.783 8.645
! - SG: Cmcm (63)
! - Magnetization: 0.667 μB per atom
! - ρ: 6.7 g/cm3
! - Uncorrected energy: -0.1334 Ha/atom